[1]
Density functional theory data (PBE-GGA) for crystalline Nd3B7Ru at its relaxed geometry.

Computed properties:
- Energy of formation from the pure elements: -0.43 eV per atom

Cell: 3.6122 8.3504 9.6068 Å, 90.00 90.00 102.49°
Fractional coordinates of all 22 atoms:
Nd: 0.1041 0.2082 0.4385
Nd: 0.8959 0.7918 0.5615
Nd: 0.2452 0.4903 0.7500
Nd: 0.7548 0.5097 0.2500
Nd: 0.1041 0.2082 0.0615
Nd: 0.8959 0.7918 0.9385
B: 0.4650 0.9299 0.7500
B: 0.5350 0.0701 0.2500
B: 0.4755 0.9510 0.3985
B: 0.5245 0.0490 0.6015
B: 0.5245 0.0490 0.8985
B: 0.4755 0.9510 0.1015
B: 0.3683 0.7365 0.3468
B: 0.6317 0.2635 0.6532
B: 0.2738 0.5475 0.4674
B: 0.7262 0.4525 0.5326
B: 0.7262 0.4525 0.9674
B: 0.2738 0.5475 0.0326
B: 0.3683 0.7365 0.1532
B: 0.6317 0.2635 0.8468
Ru: 0.9427 0.8854 0.2500
Ru: 0.0573 0.1146 0.7500

=====

[2]
Density functional theory data (PBE-GGA) for crystalline NdB4Ru4 at its relaxed geometry.

Computed properties:
- Energy of formation from the pure elements: -0.41 eV per atom
- Polymorph energy (0 for the lowest one): 58 meV/atom

Cell: 5.4038 5.4038 7.4282 Å, 90.00 90.00 90.00°
Fractional coordinates of all 18 atoms:
Nd: 0.0000 0.0000 0.0000
Nd: 0.5000 0.5000 0.5000
B: 0.5000 0.8281 0.8487
B: 0.5000 0.1719 0.8487
B: 0.8281 0.5000 0.1513
B: 0.1719 0.5000 0.1513
B: 0.3281 0.0000 0.3487
B: 0.6719 0.0000 0.3487
B: 0.0000 0.3281 0.6513
B: 0.0000 0.6719 0.6513
Ru: 0.2555 0.5000 0.8629
Ru: 0.7445 0.5000 0.8629
Ru: 0.5000 0.7445 0.1371
Ru: 0.5000 0.2555 0.1371
Ru: 0.0000 0.7555 0.3629
Ru: 0.0000 0.2445 0.3629
Ru: 0.2445 0.0000 0.6371
Ru: 0.7555 0.0000 0.6371

=====

[3]
Density functional theory data (PBE-GGA) for crystalline Nd2Si2BRu2 at its relaxed geometry.

Computed properties:
- Uncorrected formation energy: -0.7644 eV/atom

Cell: 4.2305 6.0183 5.9451 Å, 73.73 69.16 69.42°
Fractional coordinates of all 7 atoms:
Nd: 0.5644 0.1754 0.6958
Nd: 0.4356 0.8246 0.3042
Si: 0.1647 0.3948 0.2758
Si: 0.8353 0.6052 0.7242
B: 0.0000 0.0000 0.0000
Ru: 0.2100 0.6822 0.8979
Ru: 0.7900 0.3178 0.1021

=====

[4]
Density functional theory data (PBE-GGA) for crystalline Nd2SiB2Ru5 at its relaxed geometry.

Computed properties:
- Uncorrected formation energy: -0.3645 eV/atom

Cell: 3.1186 9.6643 9.6643 Å, 90.00 90.00 90.00°
Fractional coordinates of all 20 atoms:
Nd: 0.0000 0.6767 0.1767
Nd: 0.0000 0.3233 0.8233
Nd: 0.0000 0.1767 0.3233
Nd: 0.0000 0.8233 0.6767
Si: 0.0000 0.0000 0.0000
Si: 0.0000 0.5000 0.5000
B: 0.0000 0.1221 0.6221
B: 0.0000 0.8779 0.3779
B: 0.0000 0.6221 0.8779
B: 0.0000 0.3779 0.1221
Ru: 0.5000 0.2141 0.0667
Ru: 0.5000 0.7859 0.9333
Ru: 0.5000 0.0667 0.7859
Ru: 0.5000 0.7141 0.4333
Ru: 0.5000 0.9333 0.2141
Ru: 0.5000 0.2859 0.5667
Ru: 0.5000 0.5667 0.7141
Ru: 0.5000 0.4333 0.2859
Ru: 0.5000 0.5000 0.0000
Ru: 0.5000 0.0000 0.5000

=====

[5]
Density functional theory data (PBE-GGA) for crystalline NdZn2BRu2 at its relaxed geometry.

Computed properties:
- Energy of formation from the pure elements: -0.37 eV per atom

Cell: 4.2140 4.2140 5.5023 Å, 90.00 90.00 90.00°
Fractional coordinates of all 6 atoms:
Nd: 0.0000 0.0000 0.5000
Zn: 0.5000 0.5000 0.7300
Zn: 0.5000 0.5000 0.2700
B: 0.0000 0.0000 0.0000
Ru: 0.5000 0.0000 0.0000
Ru: 0.0000 0.5000 0.0000

=====

[6]
Density functional theory data (PBE-GGA) for crystalline NdBS2 at its relaxed geometry.

Computed properties:
- Uncorrected formation energy: 0.1375 eV/atom

Cell: 3.2900 3.2900 8.1388 Å, 78.34 78.34 60.00°
Fractional coordinates of all 4 atoms:
S: 0.1181 0.1181 0.6456
S: 0.8819 0.8819 0.3544
B: 0.5000 0.5000 0.5000
Nd: 0.0000 0.0000 0.0000

=====

[7]
Density functional theory data (PBE-GGA) for crystalline Nd2B2S5 at its relaxed geometry.

Computed properties:
- Uncorrected formation energy: -0.9224 eV/atom

Cell: 3.6960 9.2799 7.6473 Å, 123.30 90.00 101.49°
Fractional coordinates of all 9 atoms:
Nd: 0.3694 0.7388 0.7536
Nd: 0.6306 0.2612 0.2464
B: 0.2064 0.4128 0.8517
B: 0.7936 0.5872 0.1483
S: 0.3296 0.6592 0.0856
S: 0.6704 0.3408 0.9144
S: 0.1803 0.3605 0.5777
S: 0.8197 0.6395 0.4223
S: 0.0000 0.0000 0.0000

=====

[8]
Density functional theory data (PBE-GGA) for crystalline Nd6BS12 at its relaxed geometry.

Computed properties:
- Uncorrected formation energy: -1.3489 eV/atom

Cell: 7.8601 7.8601 7.8601 Å, 99.23 99.23 99.23°
Fractional coordinates of all 19 atoms:
Nd: 0.7157 0.8676 0.3740
Nd: 0.6260 0.2843 0.1324
Nd: 0.1324 0.6260 0.2843
Nd: 0.2843 0.1324 0.6260
Nd: 0.3740 0.7157 0.8676
Nd: 0.8676 0.3740 0.7157
B: 0.0000 0.0000 0.0000
S: 0.8223 0.5545 0.4188
S: 0.4188 0.8223 0.5545
S: 0.5545 0.4188 0.8223
S: 0.1777 0.4455 0.5812
S: 0.5812 0.1777 0.4455
S: 0.4455 0.5812 0.1777
S: 0.0550 0.9736 0.2827
S: 0.0264 0.7173 0.9450
S: 0.7173 0.9450 0.0264
S: 0.9450 0.0264 0.7173
S: 0.9736 0.2827 0.0550
S: 0.2827 0.0550 0.9736

=====

[9]
Density functional theory data (PBE-GGA) for crystalline Nd3BS6 at its relaxed geometry.

Computed properties:
- Uncorrected formation energy: -1.6069 eV/atom

Cell: 6.4590 8.6597 8.6597 Å, 101.73 90.00 90.00°
Fractional coordinates of all 20 atoms:
Nd: 0.4842 0.9199 0.7144
Nd: 0.9842 0.7144 0.9199
Nd: 0.3973 0.3958 0.6042
Nd: 0.8973 0.6042 0.3958
Nd: 0.9842 0.0801 0.2856
Nd: 0.4842 0.2856 0.0801
B: 0.0343 0.1941 0.8059
B: 0.5343 0.8059 0.1941
S: 0.1930 0.6858 0.6361
S: 0.6930 0.6361 0.6858
S: 0.1614 0.3989 0.8916
S: 0.6614 0.8916 0.3989
S: 0.1445 0.0558 0.9442
S: 0.7319 0.2068 0.7932
S: 0.2319 0.7932 0.2068
S: 0.6445 0.9442 0.0558
S: 0.1614 0.1084 0.6011
S: 0.6614 0.6011 0.1084
S: 0.1930 0.3639 0.3142
S: 0.6930 0.3142 0.3639

=====

[10]
Density functional theory data (PBE-GGA) for crystalline NdB2S6 at its relaxed geometry.

Computed properties:
- Uncorrected formation energy: -0.4867 eV/atom

Cell: 6.4699 8.0937 8.0937 Å, 67.23 71.62 71.62°
Site moments in Bohr magnetons follow the coordinates.
Fractional coordinates of all 18 atoms:
Nd: 0.2500 0.1783 0.8217  0.02
Nd: 0.7500 0.8217 0.1783  0.02
B: 0.2612 0.6555 0.7788  0.01
B: 0.2388 0.2212 0.3445  0.01
B: 0.7388 0.3445 0.2212  0.01
B: 0.7612 0.7788 0.6555  0.01
S: 0.5503 0.6923 0.5965  0.07
S: 0.9497 0.4035 0.3077  0.07
S: 0.4497 0.3077 0.4035  0.07
S: 0.0503 0.5965 0.6923  0.07
S: 0.9530 0.8634 0.4216  0.13
S: 0.5470 0.5784 0.1366  0.13
S: 0.0470 0.1366 0.5784  0.13
S: 0.4530 0.4216 0.8634  0.13
S: 0.1489 0.8213 0.9091  0.03
S: 0.3511 0.0909 0.1787  0.03
S: 0.8511 0.1787 0.0909  0.03
S: 0.6489 0.9091 0.8213  0.03

=====

[11]
Density functional theory data (PBE-GGA) for crystalline Nd2BS5 at its relaxed geometry.

Computed properties:
- Uncorrected formation energy: -1.0239 eV/atom

Cell: 6.5162 6.5163 6.0519 Å, 122.57 122.57 90.00°
Fractional coordinates of all 8 atoms:
Nd: 0.2498 0.7498 0.4996
Nd: 0.7498 0.2498 0.4996
B: 0.9559 0.9560 0.9117
S: 0.8065 0.2460 0.0526
S: 0.2460 0.2460 0.0525
S: 0.8065 0.8065 0.0526
S: 0.2461 0.8065 0.0526
S: 0.7164 0.7164 0.4328

=====

[12]
Density functional theory data (PBE-GGA) for crystalline NdBSb at its relaxed geometry.

Computed properties:
- Uncorrected formation energy: -0.0849 eV/atom

Cell: 6.1878 4.3858 8.0733 Å, 105.73 90.00 134.86°
Fractional coordinates of all 6 atoms:
Nd: 0.1122 0.2244 0.7263
Nd: 0.8878 0.7756 0.2737
B: 0.3660 0.7320 0.4999
B: 0.6340 0.2680 0.5001
Sb: 0.3446 0.6892 0.1868
Sb: 0.6554 0.3108 0.8132